No. 1
Compound: AcLa4Ho5
Source: Alexandria
Functional: PBE
Structure: relaxed

a = 3.734 Å, b = 3.734 Å, c = 24.911 Å
α = 90.00°, β = 90.00°, γ = 90.00°
Sites, in units of the cell vectors:
Ac (0.000, 0.000, 0.000)
La (0.000, 0.000, 0.204)
La (0.000, 0.000, 0.401)
La (0.000, 0.000, 0.599)
La (0.000, 0.000, 0.796)
Ho (0.500, 0.500, 0.105)
Ho (0.500, 0.500, 0.303)
Ho (0.500, 0.500, 0.500)
Ho (0.500, 0.500, 0.697)
Ho (0.500, 0.500, 0.895)

No. 2
Compound: Ac6LaHo2
Source: Alexandria
Functional: PBE
Structure: relaxed

a = 9.657 Å, b = 9.657 Å, c = 9.812 Å
α = 96.32°, β = 96.32°, γ = 121.99°
Sites, in units of the cell vectors:
Ac (0.068, 0.373, 0.866)
Ac (0.157, 0.717, 0.552)
Ac (0.283, 0.843, 0.948)
Ac (0.301, 0.390, 0.578)
Ac (0.373, 0.068, 0.366)
Ac (0.390, 0.301, 0.078)
Ac (0.610, 0.699, 0.922)
Ac (0.627, 0.932, 0.634)
Ac (0.699, 0.610, 0.422)
Ac (0.717, 0.157, 0.052)
Ac (0.843, 0.283, 0.448)
Ac (0.932, 0.627, 0.134)
La (0.025, 0.975, 0.750)
La (0.975, 0.025, 0.250)
Ho (0.180, 0.466, 0.252)
Ho (0.466, 0.180, 0.752)
Ho (0.534, 0.820, 0.248)
Ho (0.820, 0.534, 0.748)

No. 3
Compound: AcLaHo3
Source: Alexandria
Functional: PBE
Structure: relaxed

a = 9.654 Å, b = 9.654 Å, c = 7.263 Å
α = 99.20°, β = 99.20°, γ = 31.44°
Sites, in units of the cell vectors:
Ac (0.199, 0.199, 0.344)
Ac (0.801, 0.801, 0.656)
La (0.402, 0.402, 0.959)
La (0.598, 0.598, 0.041)
Ho (0.003, 0.003, 0.749)
Ho (0.197, 0.197, 0.845)
Ho (0.405, 0.405, 0.457)
Ho (0.595, 0.595, 0.543)
Ho (0.803, 0.803, 0.155)
Ho (0.997, 0.997, 0.251)

No. 4
Compound: Ac2La4Ho
Source: Alexandria
Functional: PBE
Structure: relaxed

a = 7.552 Å, b = 8.421 Å, c = 9.256 Å
α = 69.10°, β = 89.86°, γ = 77.03°
Sites, in units of the cell vectors:
Ac (0.000, 0.000, 0.000)
Ac (0.072, 0.717, 0.431)
Ac (0.500, 0.000, 0.000)
Ac (0.928, 0.283, 0.569)
La (0.142, 0.434, 0.859)
La (0.292, 0.855, 0.712)
La (0.361, 0.563, 0.146)
La (0.430, 0.282, 0.573)
La (0.570, 0.718, 0.427)
La (0.639, 0.437, 0.854)
La (0.708, 0.145, 0.288)
La (0.858, 0.566, 0.141)
Ho (0.216, 0.146, 0.286)
Ho (0.784, 0.854, 0.714)

No. 5
Compound: AcLa5Ho3
Source: Alexandria
Functional: PBE
Structure: relaxed

a = 6.896 Å, b = 6.896 Å, c = 13.737 Å
α = 95.23°, β = 95.23°, γ = 95.43°
Sites, in units of the cell vectors:
Ac (0.150, 0.850, 0.750)
Ac (0.850, 0.150, 0.250)
La (0.155, 0.523, 0.420)
La (0.183, 0.472, 0.921)
La (0.195, 0.805, 0.250)
La (0.472, 0.183, 0.421)
La (0.477, 0.845, 0.080)
La (0.523, 0.155, 0.920)
La (0.528, 0.817, 0.579)
La (0.805, 0.195, 0.750)
La (0.817, 0.528, 0.079)
La (0.845, 0.477, 0.580)
Ho (0.000, 0.000, 0.000)
Ho (0.000, 0.000, 0.500)
Ho (0.329, 0.339, 0.667)
Ho (0.339, 0.329, 0.167)
Ho (0.661, 0.671, 0.833)
Ho (0.671, 0.661, 0.333)

No. 6
Compound: Ac2La15Ho2
Source: Alexandria
Functional: PBE
Structure: relaxed

a = 9.062 Å, b = 9.062 Å, c = 9.062 Å
α = 80.57°, β = 80.57°, γ = 80.57°
Sites, in units of the cell vectors:
Ac (0.172, 0.172, 0.172)
Ac (0.828, 0.828, 0.828)
La (0.000, 0.500, 0.500)
La (0.136, 0.136, 0.652)
La (0.136, 0.652, 0.136)
La (0.208, 0.500, 0.792)
La (0.208, 0.792, 0.500)
La (0.348, 0.864, 0.864)
La (0.500, 0.000, 0.500)
La (0.500, 0.208, 0.792)
La (0.500, 0.500, 0.000)
La (0.500, 0.792, 0.208)
La (0.652, 0.136, 0.136)
La (0.792, 0.208, 0.500)
La (0.792, 0.500, 0.208)
La (0.864, 0.348, 0.864)
La (0.864, 0.864, 0.348)
Ho (0.406, 0.406, 0.406)
Ho (0.594, 0.594, 0.594)

No. 7
Compound: Ac5La4Ho2
Source: Alexandria
Functional: PBE
Structure: relaxed

a = 9.517 Å, b = 3.699 Å, c = 12.587 Å
α = 90.00°, β = 91.57°, γ = 90.00°
Sites, in units of the cell vectors:
Ac (0.000, 0.000, 0.000)
Ac (0.195, 0.000, 0.531)
Ac (0.293, 0.000, 0.825)
Ac (0.707, 0.000, 0.175)
Ac (0.805, 0.000, 0.469)
La (0.075, 0.500, 0.269)
La (0.462, 0.500, 0.354)
La (0.538, 0.500, 0.646)
La (0.925, 0.500, 0.731)
Ho (0.344, 0.000, 0.118)
Ho (0.656, 0.000, 0.882)

No. 8
Compound: Ac2La9Ho
Source: Alexandria
Functional: PBE
Structure: relaxed

a = 5.310 Å, b = 5.310 Å, c = 15.905 Å
α = 90.00°, β = 90.00°, γ = 90.00°
Sites, in units of the cell vectors:
Ac (0.000, 0.000, 0.169)
Ac (0.000, 0.000, 0.831)
La (0.000, 0.500, 0.000)
La (0.000, 0.500, 0.339)
La (0.000, 0.500, 0.661)
La (0.500, 0.000, 0.000)
La (0.500, 0.000, 0.339)
La (0.500, 0.000, 0.661)
La (0.500, 0.500, 0.170)
La (0.500, 0.500, 0.500)
La (0.500, 0.500, 0.830)
Ho (0.000, 0.000, 0.500)

No. 9
Compound: Ac8La5Ho
Source: Alexandria
Functional: PBE
Structure: relaxed

a = 9.152 Å, b = 9.152 Å, c = 9.152 Å
α = 110.60°, β = 110.60°, γ = 107.24°
Sites, in units of the cell vectors:
Ac (0.184, 0.413, 0.604)
Ac (0.330, 0.225, 0.239)
Ac (0.420, 0.816, 0.229)
Ac (0.587, 0.190, 0.771)
Ac (0.775, 0.013, 0.105)
Ac (0.810, 0.580, 0.396)
Ac (0.909, 0.670, 0.895)
Ac (0.987, 0.091, 0.761)
La (0.074, 0.472, 0.199)
La (0.125, 0.926, 0.398)
La (0.273, 0.875, 0.801)
La (0.528, 0.727, 0.602)
La (0.750, 0.250, 0.500)
Ho (0.500, 0.500, 0.000)

No. 10
Compound: AcLa2Ho
Source: Alexandria
Functional: PBE
Structure: relaxed

a = 12.414 Å, b = 12.414 Å, c = 12.414 Å
α = 17.46°, β = 17.46°, γ = 17.46°
Sites, in units of the cell vectors:
Ac (0.000, 0.000, 0.000)
La (0.245, 0.245, 0.245)
La (0.420, 0.420, 0.420)
Ho (0.832, 0.832, 0.832)

Values from the calculation:
**Polymorph energy (0 for the lowest one)**: 25 meV/atom

No. 11
Compound: AcLa6Ho
Source: Alexandria
Functional: PBE
Structure: relaxed

a = 5.283 Å, b = 5.283 Å, c = 10.573 Å
α = 90.00°, β = 90.00°, γ = 90.00°
Sites, in units of the cell vectors:
Ac (0.000, 0.000, 0.000)
La (0.000, 0.500, 0.257)
La (0.000, 0.500, 0.743)
La (0.500, 0.000, 0.257)
La (0.500, 0.000, 0.743)
La (0.500, 0.500, 0.000)
La (0.500, 0.500, 0.500)
Ho (0.000, 0.000, 0.500)

No. 12
Compound: AcLaHo4
Source: Alexandria
Functional: PBE
Structure: relaxed

a = 3.577 Å, b = 5.757 Å, c = 9.969 Å
α = 90.00°, β = 90.00°, γ = 90.00°
Sites, in units of the cell vectors:
Ac (0.000, 0.000, 0.000)
La (0.000, 0.500, 0.500)
Ho (0.500, 0.000, 0.336)
Ho (0.500, 0.000, 0.664)
Ho (0.500, 0.500, 0.169)
Ho (0.500, 0.500, 0.831)

No. 13
Compound: AcLa12Ho6
Source: Alexandria
Functional: PBE
Structure: relaxed

a = 9.436 Å, b = 9.436 Å, c = 9.436 Å
α = 107.91°, β = 107.91°, γ = 107.91°
Sites, in units of the cell vectors:
Ac (0.000, 0.000, 0.000)
La (0.166, 0.304, 0.827)
La (0.173, 0.834, 0.696)
La (0.218, 0.446, 0.543)
La (0.304, 0.827, 0.166)
La (0.446, 0.543, 0.218)
La (0.457, 0.782, 0.554)
La (0.543, 0.218, 0.446)
La (0.554, 0.457, 0.782)
La (0.696, 0.173, 0.834)
La (0.782, 0.554, 0.457)
La (0.827, 0.166, 0.304)
La (0.834, 0.696, 0.173)
Ho (0.053, 0.478, 0.194)
Ho (0.194, 0.053, 0.478)
Ho (0.478, 0.194, 0.053)
Ho (0.522, 0.806, 0.947)
Ho (0.806, 0.947, 0.522)
Ho (0.947, 0.522, 0.806)

No. 14
Compound: AcLa2Ho
Source: Alexandria
Functional: PBE
Structure: relaxed

a = 6.499 Å, b = 6.499 Å, c = 6.499 Å
α = 131.87°, β = 131.87°, γ = 70.43°
Sites, in units of the cell vectors:
Ac (0.000, 0.000, 0.000)
La (0.250, 0.750, 0.500)
La (0.750, 0.250, 0.500)
Ho (0.500, 0.500, 0.000)

Values from the calculation:
**Polymorph energy (0 for the lowest one)**: 18 meV/atom

No. 15
Compound: Ac2La5Ho3
Source: Alexandria
Functional: PBE
Structure: relaxed

a = 9.274 Å, b = 9.274 Å, c = 10.592 Å
α = 108.36°, β = 108.36°, γ = 106.28°
Sites, in units of the cell vectors:
Ac (0.028, 0.283, 0.055)
Ac (0.283, 0.028, 0.555)
Ac (0.717, 0.972, 0.445)
Ac (0.972, 0.717, 0.945)
La (0.026, 0.974, 0.750)
La (0.120, 0.376, 0.745)
La (0.237, 0.763, 0.750)
La (0.376, 0.120, 0.245)
La (0.488, 0.512, 0.250)
La (0.512, 0.488, 0.750)
La (0.624, 0.880, 0.755)
La (0.763, 0.237, 0.250)
La (0.880, 0.624, 0.255)
La (0.974, 0.026, 0.250)
Ho (0.226, 0.477, 0.440)
Ho (0.274, 0.726, 0.250)
Ho (0.477, 0.226, 0.940)
Ho (0.523, 0.774, 0.060)
Ho (0.726, 0.274, 0.750)
Ho (0.774, 0.523, 0.560)

No. 16
Compound: AcLa10Ho4
Source: Alexandria
Functional: PBE
Structure: relaxed

a = 9.120 Å, b = 9.120 Å, c = 9.120 Å
α = 101.48°, β = 101.48°, γ = 127.02°
Sites, in units of the cell vectors:
Ac (0.000, 0.000, 0.000)
La (0.077, 0.296, 0.781)
La (0.250, 0.750, 0.500)
La (0.296, 0.077, 0.781)
La (0.296, 0.516, 0.219)
La (0.484, 0.704, 0.781)
La (0.516, 0.296, 0.219)
La (0.704, 0.484, 0.781)
La (0.704, 0.923, 0.219)
La (0.750, 0.250, 0.500)
La (0.923, 0.704, 0.219)
Ho (0.227, 0.227, 0.454)
Ho (0.227, 0.773, 0.000)
Ho (0.773, 0.227, 0.000)
Ho (0.773, 0.773, 0.546)

No. 17
Compound: Ac2La6Ho5
Source: Alexandria
Functional: PBE
Structure: relaxed

a = 12.259 Å, b = 20.770 Å, c = 3.721 Å
α = 90.00°, β = 90.00°, γ = 90.00°
Sites, in units of the cell vectors:
Ac (0.163, 0.220, 0.000)
Ac (0.337, 0.720, 0.000)
Ac (0.663, 0.280, 0.000)
Ac (0.837, 0.780, 0.000)
La (0.045, 0.924, 0.000)
La (0.070, 0.638, 0.000)
La (0.187, 0.383, 0.500)
La (0.313, 0.883, 0.500)
La (0.430, 0.138, 0.000)
La (0.455, 0.424, 0.000)
La (0.545, 0.576, 0.000)
La (0.570, 0.862, 0.000)
La (0.687, 0.117, 0.500)
La (0.813, 0.617, 0.500)
La (0.930, 0.362, 0.000)
La (0.955, 0.076, 0.000)
Ho (0.000, 0.500, 0.500)
Ho (0.097, 0.780, 0.500)
Ho (0.211, 0.056, 0.500)
Ho (0.289, 0.556, 0.500)
Ho (0.403, 0.280, 0.500)
Ho (0.500, 0.000, 0.500)
Ho (0.597, 0.720, 0.500)
Ho (0.711, 0.444, 0.500)
Ho (0.789, 0.944, 0.500)
Ho (0.903, 0.220, 0.500)

No. 18
Compound: AcLa3Ho7
Source: Alexandria
Functional: PBE
Structure: relaxed

a = 7.144 Å, b = 7.144 Å, c = 8.890 Å
α = 90.00°, β = 90.00°, γ = 120.00°
Sites, in units of the cell vectors:
Ac (0.000, 0.000, 0.000)
La (0.167, 0.334, 0.656)
La (0.167, 0.833, 0.656)
La (0.666, 0.833, 0.656)
Ho (0.002, 0.501, 0.002)
Ho (0.333, 0.667, 0.318)
Ho (0.335, 0.168, 0.323)
Ho (0.499, 0.501, 0.002)
Ho (0.499, 0.998, 0.002)
Ho (0.832, 0.168, 0.323)
Ho (0.832, 0.665, 0.323)

No. 19
Compound: Ac8LaHo2
Source: Alexandria
Functional: PBE
Structure: relaxed

a = 10.128 Å, b = 10.128 Å, c = 10.128 Å
α = 146.00°, β = 125.59°, γ = 65.73°
Sites, in units of the cell vectors:
Ac (0.147, 0.353, 0.794)
Ac (0.158, 0.158, 0.000)
Ac (0.300, 0.000, 0.300)
Ac (0.440, 0.647, 0.794)
Ac (0.560, 0.353, 0.206)
Ac (0.700, 0.000, 0.700)
Ac (0.842, 0.842, 0.000)
Ac (0.853, 0.647, 0.206)
La (0.000, 0.500, 0.500)
Ho (0.299, 0.799, 0.500)
Ho (0.701, 0.201, 0.500)

| no. | E_form (eV per atom) |
| --- | --- |
| 1 | 0.035 |
| 2 | 0.166 |
| 3 | 0.051 |
| 4 | 0.028 |
| 5 | 0.067 |
| 6 | 0.174 |
| 7 | 0.155 |
| 8 | 0.015 |
| 9 | 0.230 |
| 10 | 0.045 |
| 11 | 0.018 |
| 12 | 0.085 |
| 13 | 0.216 |
| 14 | 0.039 |
| 15 | 0.177 |
| 16 | 0.226 |
| 17 | 0.116 |
| 18 | 0.195 |
| 19 | 0.121 |